Compound: Dy4Bi3C
Source: Alexandria
Functional: PBE
Structure: relaxed

The structure in CIF format:
```
data_Dy4Bi3C
_chemical_formula_sum 'Dy8 Bi6 C2'
_cell_length_a 8.560
_cell_length_b 9.633
_cell_length_c 6.288
_cell_angle_alpha 90.00
_cell_angle_beta 90.00
_cell_angle_gamma 90.00
_symmetry_space_group_name_H-M 'P m n 21'
_symmetry_Int_Tables_number 31
loop_
_symmetry_equiv_pos_as_xyz
'x,y,z'
'-x+1/2,-y,z+1/2'
'-x,y,z'
'x+1/2,-y,z+1/2'
loop_
_atom_site_label
_atom_site_type_symbol
_atom_site_fract_x
_atom_site_fract_y
_atom_site_fract_z
_atom_site_occupancy
Dy1 Dy 0.000 0.038 0.000 1
Dy2 Dy 0.000 0.798 0.431 1
Dy3 Dy 0.224 0.681 0.990 1
Bi1 Bi 0.000 0.103 0.506 1
Bi2 Bi 0.189 0.354 0.998 1
C1 C 0.000 0.802 0.064 1
```



Compound: Dy7Bi4C
Source: Alexandria
Functional: PBE
Structure: relaxed

The structure in CIF format:
```
data_Dy7Bi4C
_chemical_formula_sum 'Dy14 Bi8 C2'
_cell_length_a 16.039
_cell_length_b 4.928
_cell_length_c 11.757
_cell_angle_alpha 90.00
_cell_angle_beta 127.75
_cell_angle_gamma 90.00
_symmetry_space_group_name_H-M 'C 1 2/m 1'
_symmetry_Int_Tables_number 12
loop_
_symmetry_equiv_pos_as_xyz
'x,y,z'
'-x,-y,-z'
'-x,y,-z'
'x,-y,z'
'x+1/2,y+1/2,z'
'-x+1/2,-y+1/2,-z'
'-x+1/2,y+1/2,-z'
'x+1/2,-y+1/2,z'
loop_
_atom_site_label
_atom_site_type_symbol
_atom_site_fract_x
_atom_site_fract_y
_atom_site_fract_z
_atom_site_occupancy
Dy1 Dy 0.000 0.000 0.000 1
Dy2 Dy 0.046 0.500 0.227 1
Dy3 Dy 0.135 0.000 0.534 1
Dy4 Dy 0.244 0.500 0.880 1
Bi1 Bi 0.091 0.000 0.775 1
Bi2 Bi 0.215 0.000 0.342 1
C1 C 0.000 0.500 0.000 1
```



Compound: Dy3Bi2C
Source: Alexandria
Functional: PBE
Structure: relaxed

The structure in CIF format:
```
data_Dy3Bi2C
_chemical_formula_sum 'Dy12 Bi8 C4'
_cell_length_a 11.172
_cell_length_b 8.757
_cell_length_c 6.604
_cell_angle_alpha 90.00
_cell_angle_beta 90.00
_cell_angle_gamma 90.00
_symmetry_space_group_name_H-M 'C m c m'
_symmetry_Int_Tables_number 63
_symmetry_space_group_name_Hall '-C 2c 2'
loop_
_atom_site_label
_atom_site_type_symbol
_atom_site_fract_x
_atom_site_fract_y
_atom_site_fract_z
_atom_site_occupancy
Dy1 Dy 0.000 0.165 0.250 1
Dy2 Dy 0.147 0.500 0.000 1
Bi1 Bi 0.147 0.181 0.750 1
C1 C 0.000 0.424 0.250 1
```



Compound: Dy5Bi2C
Source: Alexandria
Functional: PBE
Structure: relaxed

The structure in CIF format:
```
data_Dy5Bi2C
_chemical_formula_sum 'Dy20 Bi8 C4'
_cell_length_a 5.122
_cell_length_b 16.014
_cell_length_c 13.016
_cell_angle_alpha 90.00
_cell_angle_beta 90.00
_cell_angle_gamma 90.00
_symmetry_space_group_name_H-M 'C m c m'
_symmetry_Int_Tables_number 63
_symmetry_space_group_name_Hall '-C 2c 2'
loop_
_atom_site_label
_atom_site_type_symbol
_atom_site_fract_x
_atom_site_fract_y
_atom_site_fract_z
_atom_site_occupancy
Dy1 Dy 0.000 0.082 0.126 1
Dy2 Dy 0.000 0.284 0.083 1
Dy3 Dy 0.000 0.291 0.750 1
Bi1 Bi 0.000 0.118 0.610 1
C1 C 0.000 0.189 0.250 1
```



Compound: Dy10Bi4C3
Source: Alexandria
Functional: PBE
Structure: relaxed

The structure in CIF format:
```
data_Dy10Bi4C3
_chemical_formula_sum 'Dy20 Bi8 C6'
_cell_length_a 4.897
_cell_length_b 4.897
_cell_length_c 35.652
_cell_angle_alpha 90.00
_cell_angle_beta 90.00
_cell_angle_gamma 90.00
_symmetry_space_group_name_H-M 'I 4/m m m'
_symmetry_Int_Tables_number 139
_symmetry_space_group_name_Hall '-I 4 2'
loop_
_atom_site_label
_atom_site_type_symbol
_atom_site_fract_x
_atom_site_fract_y
_atom_site_fract_z
_atom_site_occupancy
Dy1 Dy 0.000 0.000 0.069 1
Dy2 Dy 0.000 0.000 0.206 1
Dy3 Dy 0.000 0.500 0.000 1
Dy4 Dy 0.000 0.500 0.137 1
Bi1 Bi 0.000 0.000 0.298 1
Bi2 Bi 0.000 0.000 0.431 1
C1 C 0.000 0.000 0.000 1
C2 C 0.000 0.000 0.140 1
```



Compound: DyBiC
Source: Alexandria
Functional: PBE
Structure: relaxed

The structure in CIF format:
```
data_DyBiC
_chemical_formula_sum 'Dy4 Bi4 C4'
_cell_length_a 4.126
_cell_length_b 4.351
_cell_length_c 17.076
_cell_angle_alpha 90.00
_cell_angle_beta 90.00
_cell_angle_gamma 90.00
_symmetry_space_group_name_H-M 'I m m m'
_symmetry_Int_Tables_number 71
_symmetry_space_group_name_Hall '-I 2 2'
loop_
_atom_site_label
_atom_site_type_symbol
_atom_site_fract_x
_atom_site_fract_y
_atom_site_fract_z
_atom_site_occupancy
Dy1 Dy 0.000 0.000 0.110 1
Bi1 Bi 0.000 0.000 0.310 1
C1 C 0.000 0.355 0.000 1
```



Compound: Dy4BiC2
Source: Alexandria
Functional: PBE
Structure: relaxed

The structure in CIF format:
```
data_Dy4BiC2
_chemical_formula_sum 'Dy16 Bi4 C8'
_cell_length_a 3.811
_cell_length_b 12.478
_cell_length_c 12.977
_cell_angle_alpha 90.00
_cell_angle_beta 90.00
_cell_angle_gamma 90.00
_symmetry_space_group_name_H-M 'C m c m'
_symmetry_Int_Tables_number 63
_symmetry_space_group_name_Hall '-C 2c 2'
loop_
_atom_site_label
_atom_site_type_symbol
_atom_site_fract_x
_atom_site_fract_y
_atom_site_fract_z
_atom_site_occupancy
Dy1 Dy 0.000 0.000 0.000 1
Dy2 Dy 0.000 0.259 0.101 1
Dy3 Dy 0.000 0.413 0.750 1
Bi1 Bi 0.000 0.109 0.750 1
C1 C 0.000 0.363 0.558 1
```



Compound: Dy3Bi3C
Source: Alexandria
Functional: PBE
Structure: relaxed

The structure in CIF format:
```
data_Dy3Bi3C
_chemical_formula_sum 'Dy12 Bi12 C4'
_cell_length_a 9.286
_cell_length_b 11.295
_cell_length_c 7.741
_cell_angle_alpha 90.00
_cell_angle_beta 97.94
_cell_angle_gamma 90.00
_symmetry_space_group_name_H-M 'C 1 2/m 1'
_symmetry_Int_Tables_number 12
loop_
_symmetry_equiv_pos_as_xyz
'x,y,z'
'-x,-y,-z'
'-x,y,-z'
'x,-y,z'
'x+1/2,y+1/2,z'
'-x+1/2,-y+1/2,-z'
'-x+1/2,y+1/2,-z'
'x+1/2,-y+1/2,z'
loop_
_atom_site_label
_atom_site_type_symbol
_atom_site_fract_x
_atom_site_fract_y
_atom_site_fract_z
_atom_site_occupancy
Dy1 Dy 0.100 0.000 0.334 1
Dy2 Dy 0.249 0.161 0.756 1
Bi1 Bi 0.000 0.190 0.000 1
Bi2 Bi 0.000 0.303 0.500 1
Bi3 Bi 0.059 0.500 0.805 1
C1 C 0.141 0.000 0.636 1
```



Compound: Dy12Bi3C5
Source: Alexandria
Functional: PBE
Structure: relaxed

The structure in CIF format:
```
data_Dy12Bi3C5
_chemical_formula_sum 'Dy96 Bi24 C40'
_cell_length_a 15.952
_cell_length_b 15.952
_cell_length_c 15.952
_cell_angle_alpha 90.00
_cell_angle_beta 90.00
_cell_angle_gamma 90.00
_symmetry_space_group_name_H-M 'I a -3 d'
_symmetry_Int_Tables_number 230
_symmetry_space_group_name_Hall '-I 4bd 2c 3'
loop_
_atom_site_label
_atom_site_type_symbol
_atom_site_fract_x
_atom_site_fract_y
_atom_site_fract_z
_atom_site_occupancy
Dy1 Dy 0.037 0.050 0.647 1
Bi1 Bi 0.000 0.250 0.125 1
C1 C 0.000 0.000 0.000 1
C2 C 0.000 0.250 0.375 1
```



Compound: Dy7Bi3C2
Source: Alexandria
Functional: PBE
Structure: relaxed

The structure in CIF format:
```
data_Dy7Bi3C2
_chemical_formula_sum 'Dy14 Bi6 C4'
_cell_length_a 4.920
_cell_length_b 25.134
_cell_length_c 4.859
_cell_angle_alpha 90.00
_cell_angle_beta 90.00
_cell_angle_gamma 90.00
_symmetry_space_group_name_H-M 'C m m m'
_symmetry_Int_Tables_number 65
_symmetry_space_group_name_Hall '-C 2 2'
loop_
_atom_site_label
_atom_site_type_symbol
_atom_site_fract_x
_atom_site_fract_y
_atom_site_fract_z
_atom_site_occupancy
Dy1 Dy 0.000 0.000 0.000 1
Dy2 Dy 0.000 0.096 0.500 1
Dy3 Dy 0.000 0.195 0.000 1
Dy4 Dy 0.000 0.404 0.000 1
Bi1 Bi 0.000 0.311 0.500 1
Bi2 Bi 0.000 0.500 0.500 1
C1 C 0.000 0.100 0.000 1
```



Compound: DyEr2BiC
Source: Alexandria
Functional: PBE
Structure: relaxed

The structure in CIF format:
```
data_DyEr2BiC
_chemical_formula_sum 'Dy1 Er2 Bi1 C1'
_cell_length_a 4.869
_cell_length_b 4.869
_cell_length_c 4.939
_cell_angle_alpha 90.00
_cell_angle_beta 90.00
_cell_angle_gamma 90.00
_symmetry_space_group_name_H-M 'P 4/m m m'
_symmetry_Int_Tables_number 123
_symmetry_space_group_name_Hall '-P 4 2'
loop_
_atom_site_label
_atom_site_type_symbol
_atom_site_fract_x
_atom_site_fract_y
_atom_site_fract_z
_atom_site_occupancy
Dy1 Dy 0.000 0.000 0.000 1
Er1 Er 0.000 0.500 0.500 1
Bi1 Bi 0.500 0.500 0.000 1
C1 C 0.000 0.000 0.500 1
```



Compound: Dy4HgBiC
Source: Alexandria
Functional: PBE
Structure: relaxed

The structure in CIF format:
```
data_Dy4HgBiC
_chemical_formula_sum 'Dy16 Hg4 Bi4 C4'
_cell_length_a 6.859
_cell_length_b 15.649
_cell_length_c 6.845
_cell_angle_alpha 90.00
_cell_angle_beta 90.00
_cell_angle_gamma 90.00
_symmetry_space_group_name_H-M 'C m c m'
_symmetry_Int_Tables_number 63
_symmetry_space_group_name_Hall '-C 2c 2'
loop_
_atom_site_label
_atom_site_type_symbol
_atom_site_fract_x
_atom_site_fract_y
_atom_site_fract_z
_atom_site_occupancy
Dy1 Dy 0.000 0.084 0.250 1
Dy2 Dy 0.000 0.406 0.250 1
Dy3 Dy 0.250 0.250 0.000 1
Hg1 Hg 0.000 0.115 0.750 1
Bi1 Bi 0.000 0.392 0.750 1
C1 C 0.000 0.249 0.250 1
```



Compound: DyHo2BiC
Source: Alexandria
Functional: PBE
Structure: relaxed

The structure in CIF format:
```
data_DyHo2BiC
_chemical_formula_sum 'Dy1 Ho2 Bi1 C1'
_cell_length_a 4.896
_cell_length_b 4.896
_cell_length_c 4.933
_cell_angle_alpha 90.00
_cell_angle_beta 90.00
_cell_angle_gamma 90.00
_symmetry_space_group_name_H-M 'P 4/m m m'
_symmetry_Int_Tables_number 123
_symmetry_space_group_name_Hall '-P 4 2'
loop_
_atom_site_label
_atom_site_type_symbol
_atom_site_fract_x
_atom_site_fract_y
_atom_site_fract_z
_atom_site_occupancy
Dy1 Dy 0.000 0.000 0.000 1
Ho1 Ho 0.000 0.500 0.500 1
Bi1 Bi 0.500 0.500 0.000 1
C1 C 0.000 0.000 0.500 1
```



Compound: DyHo3Bi2C
Source: Alexandria
Functional: PBE
Structure: relaxed

The structure in CIF format:
```
data_DyHo3Bi2C
_chemical_formula_sum 'Dy2 Ho6 Bi4 C2'
_cell_length_a 4.832
_cell_length_b 4.856
_cell_length_c 15.942
_cell_angle_alpha 90.00
_cell_angle_beta 90.00
_cell_angle_gamma 90.00
_symmetry_space_group_name_H-M 'I m m m'
_symmetry_Int_Tables_number 71
_symmetry_space_group_name_Hall '-I 2 2'
loop_
_atom_site_label
_atom_site_type_symbol
_atom_site_fract_x
_atom_site_fract_y
_atom_site_fract_z
_atom_site_occupancy
Dy1 Dy 0.000 0.000 0.000 1
Ho1 Ho 0.000 0.000 0.500 1
Ho2 Ho 0.000 0.500 0.152 1
Bi1 Bi 0.000 0.500 0.355 1
C1 C 0.000 0.500 0.000 1
```



Compound: Dy2Ho2Bi2C
Source: Alexandria
Functional: PBE
Structure: relaxed

The structure in CIF format:
```
data_Dy2Ho2Bi2C
_chemical_formula_sum 'Dy4 Ho4 Bi4 C2'
_cell_length_a 4.834
_cell_length_b 4.834
_cell_length_c 16.003
_cell_angle_alpha 90.00
_cell_angle_beta 90.00
_cell_angle_gamma 90.00
_symmetry_space_group_name_H-M 'I 4/m m m'
_symmetry_Int_Tables_number 139
_symmetry_space_group_name_Hall '-I 4 2'
loop_
_atom_site_label
_atom_site_type_symbol
_atom_site_fract_x
_atom_site_fract_y
_atom_site_fract_z
_atom_site_occupancy
Dy1 Dy 0.000 0.000 0.153 1
Ho1 Ho 0.000 0.500 0.000 1
Bi1 Bi 0.000 0.000 0.356 1
C1 C 0.000 0.000 0.000 1
```



Compound: Dy4InBiC
Source: Alexandria
Functional: PBE
Structure: relaxed

The structure in CIF format:
```
data_Dy4InBiC
_chemical_formula_sum 'Dy16 In4 Bi4 C4'
_cell_length_a 6.837
_cell_length_b 16.029
_cell_length_c 6.836
_cell_angle_alpha 90.00
_cell_angle_beta 90.00
_cell_angle_gamma 90.00
_symmetry_space_group_name_H-M 'C m c m'
_symmetry_Int_Tables_number 63
_symmetry_space_group_name_Hall '-C 2c 2'
loop_
_atom_site_label
_atom_site_type_symbol
_atom_site_fract_x
_atom_site_fract_y
_atom_site_fract_z
_atom_site_occupancy
Dy1 Dy 0.000 0.090 0.250 1
Dy2 Dy 0.000 0.404 0.250 1
Dy3 Dy 0.250 0.250 0.000 1
In1 In 0.000 0.112 0.750 1
Bi1 Bi 0.000 0.394 0.750 1
C1 C 0.000 0.250 0.250 1
```



Compound: Dy2MgBiC
Source: Alexandria
Functional: PBE
Structure: relaxed

The structure in CIF format:
```
data_Dy2MgBiC
_chemical_formula_sum 'Dy2 Mg1 Bi1 C1'
_cell_length_a 5.001
_cell_length_b 5.001
_cell_length_c 4.416
_cell_angle_alpha 90.00
_cell_angle_beta 90.00
_cell_angle_gamma 90.00
_symmetry_space_group_name_H-M 'P 4/m m m'
_symmetry_Int_Tables_number 123
_symmetry_space_group_name_Hall '-P 4 2'
loop_
_atom_site_label
_atom_site_type_symbol
_atom_site_fract_x
_atom_site_fract_y
_atom_site_fract_z
_atom_site_occupancy
Dy1 Dy 0.000 0.500 0.000 1
Mg1 Mg 0.000 0.000 0.500 1
Bi1 Bi 0.500 0.500 0.500 1
C1 C 0.000 0.000 0.000 1
```



Compound: DyPaBi2C
Source: Alexandria
Functional: PBE
Structure: relaxed

The structure in CIF format:
```
data_DyPaBi2C
_chemical_formula_sum 'Dy2 Pa2 Bi4 C2'
_cell_length_a 4.340
_cell_length_b 4.340
_cell_length_c 13.672
_cell_angle_alpha 90.00
_cell_angle_beta 90.00
_cell_angle_gamma 90.00
_symmetry_space_group_name_H-M 'P 4/n m m'
_symmetry_Int_Tables_number 129
loop_
_symmetry_equiv_pos_as_xyz
'x,y,z'
'-x,-y,-z'
'-y+1/2,x,z'
'y+1/2,-x,-z'
'-x+1/2,-y+1/2,z'
'x+1/2,y+1/2,-z'
'y,-x+1/2,z'
'-y,x+1/2,-z'
'x+1/2,-y,-z'
'-x+1/2,y,z'
'-y,-x,-z'
'y,x,z'
'-x,y+1/2,-z'
'x,-y+1/2,z'
'y+1/2,x+1/2,-z'
'-y+1/2,-x+1/2,z'
loop_
_atom_site_label
_atom_site_type_symbol
_atom_site_fract_x
_atom_site_fract_y
_atom_site_fract_z
_atom_site_occupancy
Dy1 Dy 0.250 0.250 0.090 1
Pa1 Pa 0.250 0.250 0.572 1
Bi1 Bi 0.250 0.250 0.321 1
Bi2 Bi 0.250 0.250 0.856 1
C1 C 0.250 0.750 0.500 1
```



Going through the records in order, we get energy of formation from the pure elements values of -417 -357 -522 -150 -581 -7 -439 -436 -305 -578 -536 -525 -536 -633 -649 -561 -454 -324 meV per atom.